{"formula": "Sc3AlTl3Se8", "functional": "PBE-GGA", "state": "optimized geometry", "lattice_angstrom": [[-5.900, 4.657, 2.164], [-0.723, -4.544, -6.337], [-0.381, -4.145, 7.859]], "species": ["Sc", "Sc", "Sc", "Al", "Tl", "Tl", "Tl", "Se", "Se", "Se", "Se", "Se", "Se", "Se", "Se"], "frac_coords": [[0.500, 0.000, 0.500], [0.500, 0.500, 0.500], [0.000, 0.500, 0.500], [0.000, 0.000, 0.500], [0.000, 0.000, 0.000], [0.000, 0.500, 0.000], [0.500, 0.500, 0.000], [0.267, 0.535, 0.302], [0.733, 0.465, 0.698], [0.777, 0.553, 0.310], [0.223, 0.447, 0.690], [0.777, 0.034, 0.310], [0.223, 0.966, 0.690], [0.257, 0.034, 0.310], [0.743, 0.966, 0.690]], "magnetic_moment_mub_per_atom": 0.000, "density_g_cm3": 5.75, "e_form_raw_ev_per_atom": -1.114, "spacegroup": "C2/m, No. 12"}

***

{"formula": "ScAlSi2", "functional": "PBE-GGA", "state": "optimized geometry", "lattice_angstrom": [[-1.289, -6.987, 4.262], [1.238, -5.826, 5.759], [-1.655, -4.822, 6.531]], "species": ["Sc", "Si", "Si", "Al"], "frac_coords": [[0.750, 0.750, 0.750], [0.995, 0.995, 0.995], [0.505, 0.505, 0.505], [0.250, 0.250, 0.250]], "magnetic_moment_mub_per_atom": 0.000, "density_g_cm3": 3.05, "e_form_raw_ev_per_atom": -0.063, "spacegroup": "R-3m, No. 166"}

***

{"formula": "ScAlSi", "functional": "PBE-GGA", "state": "optimized geometry", "lattice_angstrom": [[-2.173, 1.776, -2.649], [-3.241, -1.550, 1.620], [1.054, 6.304, 3.361]], "species": ["Sc", "Sc", "Al", "Al", "Si", "Si"], "frac_coords": [[0.313, 0.427, 0.853], [0.813, 0.613, 0.227], [0.813, 0.265, 0.532], [0.313, 0.094, 0.188], [0.813, 0.966, 0.931], [0.313, 0.765, 0.532]], "magnetic_moment_mub_per_atom": 0.000, "density_g_cm3": 3.14, "e_form_raw_ev_per_atom": -0.414, "spacegroup": "Pm, No. 6"}

***

{"formula": "ScAlSi2", "functional": "PBE-GGA", "state": "optimized geometry", "lattice_angstrom": [[-0.269, 3.324, 0.738], [-2.970, -0.591, 1.580], [2.809, -0.872, 4.954]], "species": ["Sc", "Si", "Si", "Al"], "frac_coords": [[0.500, 0.500, 0.750], [0.000, 0.000, 0.037], [0.000, 0.000, 0.463], [0.500, 0.500, 0.250]], "magnetic_moment_mub_per_atom": 0.000, "density_g_cm3": 3.16, "e_form_raw_ev_per_atom": -0.237, "spacegroup": "P4/mmm, No. 123"}

***

{"formula": "Sc2AlSi", "functional": "PBE-GGA", "state": "optimized geometry", "lattice_angstrom": [[3.509, 0.000, 0.000], [0.000, 3.509, 0.000], [0.000, 0.000, 6.030]], "species": ["Sc", "Sc", "Si", "Al"], "frac_coords": [[0.000, 0.000, 0.014], [0.000, 0.000, 0.486], [0.500, 0.500, 0.250], [0.500, 0.500, 0.750]], "magnetic_moment_mub_per_atom": 0.000, "density_g_cm3": 3.24, "e_form_raw_ev_per_atom": -0.447, "spacegroup": "P4/mmm, No. 123"}

***

{"formula": "Sc2AlSi", "functional": "PBE-GGA", "state": "optimized geometry", "lattice_angstrom": [[-2.510, 2.759, 0.856], [-3.021, -2.645, -0.332], [-1.064, -2.450, 4.778]], "species": ["Sc", "Sc", "Si", "Al"], "frac_coords": [[0.000, 0.984, 0.907], [0.500, 0.264, 0.347], [0.000, 0.705, 0.464], [0.500, 0.547, 0.781]], "magnetic_moment_mub_per_atom": 0.000, "density_g_cm3": 3.07, "e_form_raw_ev_per_atom": -0.623, "spacegroup": "Amm2, No. 38"}

***

{"formula": "Sc2AlSi", "functional": "PBE-GGA", "state": "optimized geometry", "lattice_angstrom": [[3.805, 0.000, 0.000], [0.000, 5.488, -0.128], [0.000, -2.908, 7.591]], "species": ["Sc", "Sc", "Sc", "Sc", "Al", "Al", "Si", "Si"], "frac_coords": [[0.750, 0.231, 0.422], [0.250, 0.769, 0.578], [0.250, 0.785, 0.064], [0.750, 0.215, 0.936], [0.750, 0.669, 0.292], [0.250, 0.331, 0.708], [0.250, 0.346, 0.207], [0.750, 0.654, 0.793]], "magnetic_moment_mub_per_atom": 0.000, "density_g_cm3": 3.06, "e_form_raw_ev_per_atom": -0.621, "spacegroup": "P2_1/m, No. 11"}

***

{"formula": "ScAlSi2", "functional": "PBE-GGA", "state": "optimized geometry", "lattice_angstrom": [[4.013, 0.000, 0.000], [0.000, 4.076, 0.818], [0.000, 3.312, 4.602]], "species": ["Sc", "Si", "Si", "Al"], "frac_coords": [[0.000, 0.000, 0.500], [0.000, 0.000, 0.000], [0.500, 0.500, 0.000], [0.500, 0.500, 0.500]], "magnetic_moment_mub_per_atom": 0.000, "density_g_cm3": 3.30, "e_form_raw_ev_per_atom": -0.321, "spacegroup": "Pmmm, No. 47"}